Record 1
Ho4MgRh2 | PBE | relaxed

Unit cell a=7.223 b=7.255 c=7.611 alpha=105.70 beta=105.66 gamma=96.73
Fractional coordinates of all 14 atoms:
1 Ho 0.000 0.000 0.000
2 Ho 0.000 0.024 0.480
3 Ho 0.414 0.009 0.863
4 Ho 0.435 0.453 0.730
5 Ho 0.444 0.040 0.344
6 Ho 0.460 0.453 0.207
7 Ho 0.956 0.504 0.605
8 Ho 0.962 0.497 0.106
9 Mg 0.653 0.797 0.603
10 Mg 0.660 0.795 0.104
11 Rh 0.147 0.275 0.850
12 Rh 0.183 0.310 0.360
13 Rh 0.253 0.716 0.986
14 Rh 0.741 0.201 0.222

Calculated values
E	-5.411	eV/atom
formation energy	-0.47	eV/atom

---

Record 2
HfCrTe2N | PBE | relaxed

Unit cell a=5.721 b=5.721 c=3.950 alpha=90.00 beta=90.00 gamma=90.00
Fractional coordinates of all 5 atoms:
1 Hf 0.000 0.000 0.000
2 Cr 0.500 0.500 0.500
3 Te 0.000 0.500 0.000
4 Te 0.500 0.000 0.000
5 N 0.000 0.000 0.500

Calculated values
E	-6.618	eV/atom
ΔE to the lowest computed polymorph	0.139	eV per atom

---

Record 3
Pm2GaSe5 | PBE | relaxed

Unit cell a=5.880 b=6.201 c=6.300 alpha=72.55 beta=77.91 gamma=77.66
Fractional coordinates of all 8 atoms:
1 Pm 0.000 0.000 0.000
2 Pm 0.256 0.542 0.528
3 Ga 0.717 0.871 0.664
4 Se 0.096 0.044 0.489
5 Se 0.342 0.582 0.039
6 Se 0.496 0.145 0.854
7 Se 0.729 0.691 0.382
8 Se 0.895 0.520 0.952

Calculated values
E	-4.938	eV/atom

---

Record 4
Pu2SiAu3 | PBE | relaxed

Unit cell a=3.243 b=4.681 c=8.244 alpha=90.00 beta=90.00 gamma=90.00
Fractional coordinates of all 6 atoms:
1 Pu 0.000 0.000 0.000
2 Pu 0.000 0.500 0.493
3 Si 0.500 0.000 0.326
4 Au 0.500 0.000 0.647
5 Au 0.500 0.500 0.174
6 Au 0.500 0.500 0.833

Calculated values
E	-7.772	eV/atom

---

Q: What is the formula in the second record?
A: HfCrTe2N